! PBE AcSI, optimized geometry; values from VASP
&SYSTEM
  ibrav = 0, nat = 3, ntyp = 3
/
ATOMIC_SPECIES
Ac 227.00 Ac.upf
S 32.06 S.upf
I 126.90 I.upf
CELL_PARAMETERS angstrom
4.651 0.000 0.000
-2.325 4.028 0.000
0.000 0.000 7.127
ATOMIC_POSITIONS angstrom
Ac 0.000 0.000 0.000
S 0.000 2.685 1.059
I 2.325 1.343 4.967
! - crystal system = trigonal
! - electronic total energy (eV per cell) = -15.24
! - energy above the most stable polymorph in this dataset (meV per atom) = 126
! - magnetic moment (μB/cell) = 0.000
! - formation energy without anion corrections (eV/atom) = -1.818